1.
HfZrSn | PBE-GGA | optimized geometry

## Properties
energy relative to the elements: -0.4030 eV per atom

```
data_HfZrSn
_chemical_formula_sum 'Hf4 Zr4 Sn4'
_cell_length_a 5.947
_cell_length_b 4.866
_cell_length_c 9.164
_cell_angle_alpha 90.00
_cell_angle_beta 90.00
_cell_angle_gamma 90.00
_space_group_name_H-M_alt 'P n m a'
_space_group_IT_number 62
loop_
_space_group_symop_operation_xyz
'x,y,z'
'-x,-y,-z'
'-x+1/2,-y,z+1/2'
'x+1/2,y,-z+1/2'
'x+1/2,-y+1/2,-z+1/2'
'-x+1/2,y+1/2,z+1/2'
'-x,y+1/2,-z'
'x,-y+1/2,z'
loop_
_atom_site_label
_atom_site_fract_x
_atom_site_fract_y
_atom_site_fract_z
Hf1 0.151 0.250 0.033
Zr1 0.113 0.250 0.695
Sn1 0.173 0.250 0.364
```

2.
LaPm3NdHo | PBE-GGA | optimized geometry

## Properties
energy relative to the elements: 0.0195 eV per atom

```
data_LaPm3NdHo
_chemical_formula_sum 'La2 Pm6 Nd2 Ho2'
_cell_length_a 8.154
_cell_length_b 5.182
_cell_length_c 10.323
_cell_angle_alpha 90.00
_cell_angle_beta 108.43
_cell_angle_gamma 90.00
_space_group_name_H-M_alt 'P 1 21/m 1'
_space_group_IT_number 11
loop_
_space_group_symop_operation_xyz
'x,y,z'
'-x,-y,-z'
'-x,y+1/2,-z'
'x,-y+1/2,z'
loop_
_atom_site_label
_atom_site_fract_x
_atom_site_fract_y
_atom_site_fract_z
La1 0.167 0.250 0.290
Pm1 0.168 0.750 0.544
Pm2 0.170 0.250 0.794
Pm3 0.171 0.750 0.040
Nd1 0.500 0.250 0.628
Ho1 0.497 0.750 0.878
```

3.
Y2CSe | PBE-GGA | optimized geometry

## Properties
formation energy without anion corrections: -1.17 eV per atom

```
data_Y2CSe
_chemical_formula_sum 'Y6 C3 Se3'
_cell_length_a 3.7754
_cell_length_b 3.7754
_cell_length_c 19.7799
_cell_angle_alpha 90.00
_cell_angle_beta 90.00
_cell_angle_gamma 120.00
_space_group_name_H-M_alt 'R -3 m'
_space_group_IT_number 166
_space_group_name_Hall '-R 3 2"'
loop_
_atom_site_label
_atom_site_fract_x
_atom_site_fract_y
_atom_site_fract_z
Y1 0.0000 0.0000 0.2342
C1 0.0000 0.0000 0.5000
Se1 0.0000 0.0000 0.0000
```

4.
K2HoAsSe4 | PBE-GGA | optimized geometry

## Properties
formation energy without anion corrections: -1.10 eV per atom

```
data_K2HoAsSe4
_chemical_formula_sum 'K8 Ho4 As4 Se16'
_cell_length_a 8.534
_cell_length_b 8.609
_cell_length_c 12.131
_cell_angle_alpha 90.00
_cell_angle_beta 90.00
_cell_angle_gamma 90.00
_space_group_name_H-M_alt 'I m m a'
_space_group_IT_number 74
_space_group_name_Hall '-I 2b 2'
loop_
_atom_site_label
_atom_site_fract_x
_atom_site_fract_y
_atom_site_fract_z
K1 0.000 0.000 0.000
K2 0.250 0.250 0.250
Ho1 0.000 0.000 0.500
As1 0.250 0.250 0.750
Se1 0.000 0.037 0.737
Se2 0.224 0.250 0.519
```

5.
CaB5Ru4 | PBE-GGA | optimized geometry

## Properties
energy relative to the elements: 0.2438 eV per atom

```
data_CaB5Ru4
_chemical_formula_sum 'Ca2 B10 Ru8'
_cell_length_a 7.931
_cell_length_b 7.931
_cell_length_c 4.828
_cell_angle_alpha 90.00
_cell_angle_beta 90.00
_cell_angle_gamma 90.00
_space_group_name_H-M_alt 'P 4/n m m'
_space_group_IT_number 129
loop_
_space_group_symop_operation_xyz
'x,y,z'
'-x,-y,-z'
'-y+1/2,x,z'
'y+1/2,-x,-z'
'-x+1/2,-y+1/2,z'
'x+1/2,y+1/2,-z'
'y,-x+1/2,z'
'-y,x+1/2,-z'
'x+1/2,-y,-z'
'-x+1/2,y,z'
'-y,-x,-z'
'y,x,z'
'-x,y+1/2,-z'
'x,-y+1/2,z'
'y+1/2,x+1/2,-z'
'-y+1/2,-x+1/2,z'
loop_
_atom_site_label
_atom_site_fract_x
_atom_site_fract_y
_atom_site_fract_z
Ca1 0.250 0.750 0.000
B1 0.010 0.010 0.316
B2 0.250 0.250 0.610
Ru1 0.002 0.250 0.514
```

6.
Tb14PrTh | PBE-GGA | optimized geometry

## Properties
energy relative to the elements: 0.0153 eV per atom

```
data_Tb14PrTh
_chemical_formula_sum 'Tb28 Pr2 Th2'
_cell_length_a 11.569
_cell_length_b 7.188
_cell_length_c 12.405
_cell_angle_alpha 90.00
_cell_angle_beta 90.00
_cell_angle_gamma 90.00
_space_group_name_H-M_alt 'A m m 2'
_space_group_IT_number 38
loop_
_space_group_symop_operation_xyz
'x,y,z'
'-x,-y,z'
'-x,y,z'
'x,-y,z'
'x,y+1/2,z+1/2'
'-x,-y+1/2,z+1/2'
'-x,y+1/2,z+1/2'
'x,-y+1/2,z+1/2'
loop_
_atom_site_label
_atom_site_fract_x
_atom_site_fract_y
_atom_site_fract_z
Tb1 0.000 0.000 0.000
Tb2 0.000 0.000 0.500
Tb3 0.000 0.250 0.251
Tb4 0.248 0.000 0.334
Tb5 0.248 0.247 0.584
Tb6 0.250 0.000 0.832
Tb7 0.500 0.250 0.417
Pr1 0.500 0.000 0.167
Th1 0.500 0.000 0.666
```

7.
NaScC | PBE-GGA | optimized geometry

## Properties
energy relative to the elements: 0.7153 eV per atom
distance to the lowest polymorph of the same formula: 0.858 eV/atom

```
data_NaScC
_chemical_formula_sum 'Na4 Sc4 C4'
_cell_length_a 3.095
_cell_length_b 4.035
_cell_length_c 14.783
_cell_angle_alpha 90.00
_cell_angle_beta 90.00
_cell_angle_gamma 90.00
_space_group_name_H-M_alt 'I m m m'
_space_group_IT_number 71
_space_group_name_Hall '-I 2 2'
loop_
_atom_site_label
_atom_site_fract_x
_atom_site_fract_y
_atom_site_fract_z
Na1 0.000 0.240 0.000
Sc1 0.000 0.500 0.189
C1 0.000 0.500 0.337
```

8.
Pu2CuSb4 | PBE-GGA | optimized geometry

## Properties
formation energy without anion corrections: -0.45 eV per atom

```
data_Pu2CuSb4
_chemical_formula_sum 'Pu2 Cu1 Sb4'
_cell_length_a 4.384
_cell_length_b 4.384
_cell_length_c 9.206
_cell_angle_alpha 90.00
_cell_angle_beta 90.00
_cell_angle_gamma 90.00
_space_group_name_H-M_alt 'P -4 m 2'
_space_group_IT_number 115
loop_
_space_group_symop_operation_xyz
'x,y,z'
'y,-x,-z'
'-x,-y,z'
'-y,x,-z'
'-x,y,z'
'-y,-x,-z'
'x,-y,z'
'y,x,-z'
loop_
_atom_site_label
_atom_site_fract_x
_atom_site_fract_y
_atom_site_fract_z
Pu1 0.000 0.500 0.234
Cu1 0.500 0.500 0.000
Sb1 0.000 0.000 0.500
Sb2 0.000 0.500 0.846
Sb3 0.500 0.500 0.500
```

9.
Pr2DyPb2 | PBE-GGA | optimized geometry

## Properties
energy relative to the elements: -0.3487 eV per atom
distance to the lowest polymorph of the same formula: 0.178 eV/atom

```
data_Pr2DyPb2
_chemical_formula_sum 'Pr8 Dy4 Pb8'
_cell_length_a 8.500
_cell_length_b 12.538
_cell_length_c 6.644
_cell_angle_alpha 90.00
_cell_angle_beta 90.00
_cell_angle_gamma 90.00
_space_group_name_H-M_alt 'I b a m'
_space_group_IT_number 72
_space_group_name_Hall '-I 2 2c'
loop_
_atom_site_label
_atom_site_fract_x
_atom_site_fract_y
_atom_site_fract_z
Pr1 0.147 0.145 0.000
Dy1 0.000 0.500 0.250
Pb1 0.233 0.114 0.500
```

10.
ZrRuCl | PBE-GGA | optimized geometry

## Properties
formation energy without anion corrections: -0.50 eV per atom
distance to the lowest polymorph of the same formula: 0.000 eV/atom

```
data_ZrRuCl
_chemical_formula_sum 'Zr1 Ru1 Cl1'
_cell_length_a 3.3550
_cell_length_b 3.3550
_cell_length_c 6.5367
_cell_angle_alpha 90.00
_cell_angle_beta 90.00
_cell_angle_gamma 120.00
_space_group_name_H-M_alt 'P 3 m 1'
_space_group_IT_number 156
loop_
_space_group_symop_operation_xyz
'x,y,z'
'-y,x-y,z'
'-x+y,-x,z'
'-y,-x,z'
'-x+y,y,z'
'x,x-y,z'
loop_
_atom_site_label
_atom_site_fract_x
_atom_site_fract_y
_atom_site_fract_z
Zr1 0.0000 0.0000 0.0000
Ru1 0.3333 0.6667 0.7411
Cl1 0.6667 0.3333 0.2934
```

11.
TlTc2Ru | PBE-GGA | optimized geometry

## Properties
energy relative to the elements: 0.6863 eV per atom
distance to the lowest polymorph of the same formula: 0.287 eV/atom

```
data_TlTc2Ru
_chemical_formula_sum 'Tl1 Tc2 Ru1'
_cell_length_a 3.849
_cell_length_b 3.849
_cell_length_c 4.370
_cell_angle_alpha 90.00
_cell_angle_beta 90.00
_cell_angle_gamma 90.00
_space_group_name_H-M_alt 'P 4/m m m'
_space_group_IT_number 123
_space_group_name_Hall '-P 4 2'
loop_
_atom_site_label
_atom_site_fract_x
_atom_site_fract_y
_atom_site_fract_z
Tl1 0.000 0.000 0.000
Tc1 0.000 0.500 0.500
Ru1 0.500 0.500 0.000
```

12.
Tm2Mg2O5 | PBE-GGA | optimized geometry

## Properties
formation energy without anion corrections: -2.78 eV per atom

```
data_Tm2Mg2O5
_chemical_formula_sum 'Tm2 Mg2 O5'
_cell_length_a 3.844
_cell_length_b 3.844
_cell_length_c 7.143
_cell_angle_alpha 90.00
_cell_angle_beta 90.00
_cell_angle_gamma 90.00
_space_group_name_H-M_alt 'P 4/m m m'
_space_group_IT_number 123
_space_group_name_Hall '-P 4 2'
loop_
_atom_site_label
_atom_site_fract_x
_atom_site_fract_y
_atom_site_fract_z
Tm1 0.000 0.000 0.000
Tm2 0.000 0.000 0.500
Mg1 0.500 0.500 0.236
O1 0.000 0.500 0.197
O2 0.500 0.500 0.500
```